Record 1
Compound: RbMgICl2
Source: the Alexandria database
Functional: PBE
Structure: optimized geometry

Final energy: -31.64 eV per cell
Uncorrected formation energy: -1603.2 meV per atom

Lattice parameters (Å, degrees): 8.487 8.487 8.952 90.00 90.00 148.90
Fractional positions:
Rb 0.220 0.780 0.750
Rb 0.780 0.220 0.250
Mg 0.500 0.500 0.000
Mg 0.500 0.500 0.500
I 0.016 0.984 0.250
I 0.984 0.016 0.750
Cl 0.358 0.642 0.022
Cl 0.358 0.642 0.478
Cl 0.642 0.358 0.522
Cl 0.642 0.358 0.978


Record 2
Compound: RbMgI2Cl
Source: the Alexandria database
Functional: PBE
Structure: optimized geometry

Final energy: -29.18 eV per cell
Uncorrected formation energy: -1415.7 meV per atom

Lattice parameters (Å, degrees): 9.136 4.476 9.697 90.00 104.50 90.00
Fractional positions:
Rb 0.173 0.250 0.360
Rb 0.827 0.750 0.640
Mg 0.349 0.250 0.825
Mg 0.651 0.750 0.175
I 0.320 0.750 0.030
I 0.414 0.750 0.644
I 0.586 0.250 0.356
I 0.680 0.250 0.970
Cl 0.087 0.250 0.705
Cl 0.913 0.750 0.295


Record 3
Compound: MgS2ICl
Source: the Alexandria database
Functional: PBE
Structure: optimized geometry

Final energy: -13.58 eV per cell
Uncorrected formation energy: -65.9 meV per atom

Lattice parameters (Å, degrees): 5.038 5.038 4.638 90.00 90.00 90.00
Fractional positions:
Mg 0.000 0.000 0.000
S 0.000 0.500 0.000
S 0.500 0.000 0.000
I 0.500 0.500 0.500
Cl 0.000 0.000 0.500


Record 4
Compound: MgS2ICl
Source: the Alexandria database
Functional: PBE
Structure: optimized geometry

Final energy: -11.42 eV per cell
Uncorrected formation energy: 365.7 meV per atom

Lattice parameters (Å, degrees): 5.152 5.152 5.347 90.00 90.00 90.00
Fractional positions:
Mg 0.000 0.000 0.000
S 0.000 0.500 0.500
S 0.500 0.000 0.500
I 0.500 0.500 0.500
Cl 0.500 0.500 0.000


Record 5
Compound: MgSb2ICl
Source: the Alexandria database
Functional: PBE
Structure: optimized geometry

Final energy: -11.99 eV per cell
Uncorrected formation energy: 250.2 meV per atom

Lattice parameters (Å, degrees): 5.484 5.484 5.495 90.00 90.00 90.00
Fractional positions:
Mg 0.000 0.000 0.000
Sb 0.000 0.500 0.000
Sb 0.500 0.000 0.000
I 0.000 0.000 0.500
Cl 0.500 0.500 0.500


Record 6
Compound: MgSb2ICl
Source: the Alexandria database
Functional: PBE
Structure: optimized geometry

Final energy: -10.75 eV per cell
Uncorrected formation energy: 497.8 meV per atom

Lattice parameters (Å, degrees): 5.143 5.143 6.871 90.00 90.00 90.00
Fractional positions:
Mg 0.000 0.000 0.000
Sb 0.000 0.500 0.500
Sb 0.500 0.000 0.500
I 0.500 0.500 0.000
Cl 0.500 0.500 0.500


Record 7
Compound: Sr3MgI2Cl6
Source: the Alexandria database
Functional: PBE
Structure: optimized geometry

Final energy: -45.40 eV per cell
Uncorrected formation energy: -2048.4 meV per atom

Lattice parameters (Å, degrees): 8.387 8.387 6.862 95.30 95.30 59.77
Fractional positions:
Sr 0.000 0.000 0.000
Sr 0.000 0.500 0.500
Sr 0.500 0.000 0.500
Mg 0.500 0.500 0.500
I 0.199 0.199 0.832
I 0.801 0.801 0.168
Cl 0.198 0.675 0.713
Cl 0.325 0.802 0.287
Cl 0.346 0.346 0.311
Cl 0.654 0.654 0.689
Cl 0.675 0.198 0.713
Cl 0.802 0.325 0.287


Record 8
Compound: MgTeI2Cl
Source: the Alexandria database
Functional: PBE
Structure: optimized geometry

Final energy: -7.89 eV per cell
Uncorrected formation energy: 358.5 meV per atom

Lattice parameters (Å, degrees): 5.550 5.550 5.833 90.00 90.00 90.00
Fractional positions:
Mg 0.000 0.000 0.000
Te 0.500 0.500 0.000
I 0.000 0.500 0.500
I 0.500 0.000 0.500
Cl 0.500 0.500 0.500


Record 9
Compound: MgTe2ICl
Source: the Alexandria database
Functional: PBE
Structure: optimized geometry

Final energy: -9.00 eV per cell
Uncorrected formation energy: 455.3 meV per atom

Lattice parameters (Å, degrees): 5.526 5.526 5.549 90.00 90.00 90.00
Fractional positions:
Mg 0.000 0.000 0.000
Te 0.000 0.500 0.500
Te 0.500 0.000 0.500
I 0.500 0.500 0.000
Cl 0.500 0.500 0.500


Record 10
Compound: MgTe2ICl
Source: the Alexandria database
Functional: PBE
Structure: optimized geometry

Final energy: -10.75 eV per cell
Uncorrected formation energy: 105.7 meV per atom

Lattice parameters (Å, degrees): 5.522 5.522 5.485 90.00 90.00 90.00
Fractional positions:
Mg 0.000 0.000 0.000
Te 0.000 0.500 0.000
Te 0.500 0.000 0.000
I 0.000 0.000 0.500
Cl 0.500 0.500 0.500


Record 11
Compound: MgTe2ICl
Source: the Alexandria database
Functional: PBE
Structure: optimized geometry

Final energy: -8.56 eV per cell
Uncorrected formation energy: 543.5 meV per atom

Lattice parameters (Å, degrees): 5.783 5.783 5.939 90.00 90.00 90.00
Fractional positions:
Mg 0.000 0.000 0.000
Te 0.000 0.500 0.500
Te 0.500 0.000 0.500
I 0.000 0.000 0.500
Cl 0.500 0.500 0.000


Record 12
Compound: MgTeI2Cl
Source: the Alexandria database
Functional: PBE
Structure: optimized geometry

Final energy: -9.93 eV per cell
Uncorrected formation energy: -49.3 meV per atom

Lattice parameters (Å, degrees): 5.525 5.525 5.908 90.00 90.00 90.00
Fractional positions:
Mg 0.000 0.000 0.000
Te 0.000 0.000 0.500
I 0.000 0.500 0.000
I 0.500 0.000 0.000
Cl 0.500 0.500 0.500


Record 13
Compound: MgTlICl2
Source: the Alexandria database
Functional: PBE
Structure: optimized geometry

Final energy: -30.61 eV per cell
Uncorrected formation energy: -1220.5 meV per atom

Lattice parameters (Å, degrees): 8.456 8.456 8.849 90.00 90.00 149.24
Fractional positions:
Mg 0.000 0.000 0.000
Mg 0.000 0.000 0.500
Tl 0.290 0.710 0.750
Tl 0.710 0.290 0.250
I 0.489 0.511 0.250
I 0.511 0.489 0.750
Cl 0.143 0.857 0.016
Cl 0.143 0.857 0.484
Cl 0.857 0.143 0.516
Cl 0.857 0.143 0.984


Record 14
Compound: MgTlICl2
Source: the Alexandria database
Functional: PBE
Structure: optimized geometry

Final energy: -15.50 eV per cell
Uncorrected formation energy: -1259.4 meV per atom

Lattice parameters (Å, degrees): 4.995 4.995 5.993 90.00 90.00 90.00
Fractional positions:
Mg 0.000 0.000 0.000
Tl 0.500 0.500 0.500
I 0.000 0.000 0.500
Cl 0.000 0.500 0.000
Cl 0.500 0.000 0.000


Record 15
Compound: MnICl4
Source: the Alexandria database
Functional: PBE
Structure: optimized geometry

Final energy: -21.36 eV per cell
Uncorrected formation energy: -541.5 meV per atom

Lattice parameters (Å, degrees): 5.765 6.584 6.590 102.35 107.42 107.19
Fractional positions:
Mn 0.000 0.000 0.000
I 0.501 0.281 0.281
Cl 0.009 0.286 0.286
Cl 0.131 0.796 0.797
Cl 0.739 0.063 0.735
Cl 0.740 0.736 0.063


Record 16
Compound: MnICl
Source: the Alexandria database
Functional: PBE
Structure: optimized geometry

Final energy: -59.24 eV per cell
Uncorrected formation energy: -747.7 meV per atom

Lattice parameters (Å, degrees): 7.701 7.827 6.792 90.00 105.83 90.00
Fractional positions:
Mn 0.008 0.126 0.242
Mn 0.008 0.374 0.742
Mn 0.992 0.626 0.258
Mn 0.992 0.874 0.758
I 0.243 0.111 0.655
I 0.243 0.389 0.155
I 0.757 0.611 0.845
I 0.757 0.889 0.345
Cl 0.168 0.633 0.638
Cl 0.168 0.867 0.138
Cl 0.832 0.133 0.862
Cl 0.832 0.367 0.362


Record 17
Compound: MnI2Cl2
Source: the Alexandria database
Functional: PBE
Structure: optimized geometry

Final energy: -29.96 eV per cell
Uncorrected formation energy: 196.3 meV per atom

Lattice parameters (Å, degrees): 4.165 4.165 21.189 90.00 90.00 90.00
Fractional positions:
Mn 0.000 0.000 0.000
Mn 0.500 0.500 0.500
I 0.000 0.500 0.250
I 0.000 0.500 0.750
I 0.500 0.000 0.250
I 0.500 0.000 0.750
Cl 0.000 0.000 0.428
Cl 0.000 0.000 0.572
Cl 0.500 0.500 0.072
Cl 0.500 0.500 0.928


Record 18
Compound: MnI3Cl9
Source: the Alexandria database
Functional: PBE
Structure: optimized geometry

Final energy: -71.25 eV per cell
Uncorrected formation energy: -398.9 meV per atom

Lattice parameters (Å, degrees): 11.353 11.353 14.348 124.31 124.31 49.67
Fractional positions:
Mn 0.216 0.784 0.500
Mn 0.784 0.216 0.000
I 0.097 0.209 0.537
I 0.209 0.097 0.037
I 0.271 0.525 0.972
I 0.525 0.271 0.472
I 0.613 0.885 0.746
I 0.885 0.613 0.246
Cl 0.025 0.666 0.014
Cl 0.054 0.055 0.598
Cl 0.055 0.054 0.098
Cl 0.151 0.698 0.558
Cl 0.182 0.290 0.472
Cl 0.289 0.878 0.444
Cl 0.290 0.182 0.972
Cl 0.374 0.527 0.398
Cl 0.443 0.762 0.679
Cl 0.477 0.908 0.127
Cl 0.527 0.374 0.898
Cl 0.666 0.025 0.514
Cl 0.698 0.151 0.058
Cl 0.762 0.443 0.179
Cl 0.804 0.990 0.822
Cl 0.878 0.289 0.944
Cl 0.908 0.477 0.627
Cl 0.990 0.804 0.322


Record 19
Compound: MnICl
Source: the Alexandria database
Functional: PBE
Structure: optimized geometry

Final energy: -14.71 eV per cell
Uncorrected formation energy: -716.1 meV per atom

Lattice parameters (Å, degrees): 3.954 3.954 6.920 90.00 90.00 120.00
Fractional positions:
Mn 0.000 0.000 0.000
I 0.333 0.667 0.747
Cl 0.667 0.333 0.183


Record 20
Compound: MnICl
Source: the Alexandria database
Functional: PBE
Structure: optimized geometry

Final energy: -29.49 eV per cell
Uncorrected formation energy: -725.8 meV per atom

Lattice parameters (Å, degrees): 6.217 6.644 6.751 100.60 97.30 98.68
Fractional positions:
Mn 0.000 0.000 0.243
Mn 0.000 0.000 0.757
I 0.259 0.256 0.576
I 0.741 0.744 0.424
Cl 0.186 0.829 0.991
Cl 0.814 0.171 0.009


Record 21
Compound: Mn5I3Cl12
Source: the Alexandria database
Functional: PBE
Structure: optimized geometry

Final energy: -335.03 eV per cell
Uncorrected formation energy: -555.0 meV per atom

Lattice parameters (Å, degrees): 14.566 14.566 14.566 109.47 109.47 109.47
Fractional positions:
Mn 0.000 0.000 0.000
Mn 0.000 0.000 0.500
Mn 0.000 0.500 0.000
Mn 0.000 0.500 0.500
Mn 0.125 0.750 0.875
Mn 0.125 0.875 0.250
Mn 0.250 0.125 0.875
Mn 0.250 0.625 0.375
Mn 0.375 0.250 0.625
Mn 0.375 0.625 0.750
Mn 0.500 0.000 0.000
Mn 0.500 0.000 0.500
Mn 0.500 0.500 0.000
Mn 0.500 0.500 0.500
Mn 0.625 0.375 0.250
Mn 0.625 0.750 0.375
Mn 0.750 0.375 0.625
Mn 0.750 0.875 0.125
Mn 0.875 0.125 0.750
Mn 0.875 0.250 0.125
I 0.125 0.250 0.375
I 0.125 0.375 0.750
I 0.250 0.375 0.125
I 0.250 0.875 0.625
I 0.375 0.125 0.250
I 0.375 0.750 0.125
I 0.625 0.250 0.875
I 0.625 0.875 0.750
I 0.750 0.125 0.375
I 0.750 0.625 0.875
I 0.875 0.625 0.250
I 0.875 0.750 0.625
Cl 0.004 0.682 0.110
Cl 0.004 0.822 0.894
Cl 0.072 0.678 0.682
Cl 0.072 0.894 0.390
Cl 0.106 0.610 0.928
Cl 0.106 0.996 0.178
Cl 0.110 0.004 0.682
Cl 0.110 0.606 0.428
Cl 0.178 0.106 0.996
Cl 0.178 0.572 0.182
Cl 0.182 0.178 0.572
Cl 0.182 0.504 0.610
Cl 0.318 0.890 0.996
Cl 0.318 0.928 0.322
Cl 0.322 0.318 0.928
Cl 0.322 0.504 0.394
Cl 0.390 0.072 0.894
Cl 0.390 0.818 0.496
Cl 0.394 0.322 0.504
Cl 0.394 0.572 0.890
Cl 0.428 0.110 0.606
Cl 0.428 0.818 0.822
Cl 0.496 0.390 0.818
Cl 0.496 0.606 0.678
Cl 0.504 0.394 0.322
Cl 0.504 0.610 0.182
Cl 0.572 0.182 0.178
Cl 0.572 0.890 0.394
Cl 0.606 0.428 0.110
Cl 0.606 0.678 0.496
Cl 0.610 0.182 0.504
Cl 0.610 0.928 0.106
Cl 0.678 0.496 0.606
Cl 0.678 0.682 0.072
Cl 0.682 0.072 0.678
Cl 0.682 0.110 0.004
Cl 0.818 0.496 0.390
Cl 0.818 0.822 0.428
Cl 0.822 0.428 0.818
Cl 0.822 0.894 0.004
Cl 0.890 0.394 0.572
Cl 0.890 0.996 0.318
Cl 0.894 0.004 0.822
Cl 0.894 0.390 0.072
Cl 0.928 0.106 0.610
Cl 0.928 0.322 0.318
Cl 0.996 0.178 0.106
Cl 0.996 0.318 0.890